# PuZr3N4, relaxed, DFT PBE-GGA
# - Formation energy from raw total energies: -1615 meV per atom
# - Relative energy among the computed polymorphs: 0 meV per atom
data_PuZr3N4
_chemical_formula_sum 'Pu2 Zr6 N8'
_cell_length_a 6.644
_cell_length_b 9.352
_cell_length_c 3.308
_cell_angle_alpha 90.00
_cell_angle_beta 90.00
_cell_angle_gamma 90.00
_space_group_name_H-M_alt 'P 1'
_space_group_IT_number 1
_space_group_name_Hall 'P 1'
loop_
_atom_site_label
_atom_site_type_symbol
_atom_site_fract_x
_atom_site_fract_y
_atom_site_fract_z
Pu1 Pu 0.000 0.000 0.000
Pu2 Pu 0.500 0.500 0.000
Zr1 Zr 0.000 0.500 0.000
Zr2 Zr 0.250 0.250 0.500
Zr3 Zr 0.250 0.750 0.500
Zr4 Zr 0.500 0.000 0.000
Zr5 Zr 0.750 0.250 0.500
Zr6 Zr 0.750 0.750 0.500
N1 N 0.000 0.254 0.000
N2 N 0.000 0.746 0.000
N3 N 0.241 0.500 0.500
N4 N 0.259 0.000 0.500
N5 N 0.500 0.246 0.000
N6 N 0.500 0.754 0.000
N7 N 0.741 0.000 0.500
N8 N 0.759 0.500 0.500